No. 1
First-principles (GGA-PBE) data for a relaxed structure of CuTeAs, as listed in Alexandria.

Formation energy (no corrections) in eV/atom: 0.165

POSCAR file:
```
CuTeAs
1.0
6.272 0.006 0.000
4.349 4.519 0.000
-5.311 -2.263 2.453
As Cu Te
1 1 1
Cartesian
9.557 4.072 0.000
4.570 1.947 0.000
7.115 3.032 0.000
```

---

No. 2
First-principles (GGA-PBE) data for a relaxed structure of PmFeAgC, as listed in Alexandria.

Uncorrected energy in eV per atom: -6.38

POSCAR file:
```
PmFeAgC
1.0
3.620 0.000 0.000
0.000 3.620 0.000
0.000 0.000 10.062
Ag C Pm Fe
2 2 2 2
Cartesian
2.715 0.905 5.031
0.905 2.715 5.031
0.905 0.905 0.832
2.715 2.715 9.229
2.715 2.715 2.276
0.905 0.905 7.785
2.715 0.905 0.000
0.905 2.715 0.000
```

---

No. 3
First-principles (GGA-PBE) data for a relaxed structure of Re5Rh4, as listed in Alexandria.

Uncorrected energy in eV per atom: -10.07

POSCAR file:
```
Re5Rh4
1.0
7.521 0.000 0.000
3.760 6.513 0.000
0.000 0.000 5.438
Re Rh
10 8
Cartesian
5.023 4.325 1.359
4.994 0.000 1.359
3.760 2.171 0.000
2.526 0.000 4.078
3.760 2.171 2.719
1.263 2.188 1.359
2.497 4.325 4.078
7.521 4.342 2.719
7.521 4.342 0.000
6.257 2.188 4.078
5.017 0.000 4.078
2.508 4.345 1.359
0.000 0.000 2.719
1.252 2.168 4.078
6.269 2.168 1.359
2.504 0.000 1.359
5.012 4.345 4.078
0.000 0.000 0.000
```